This record from the Open Quantum Materials Database describes a geometry-optimized Zn2HgAu structure. The functional is PBE.

Unit cell a=4.663 b=4.663 c=4.663 alpha=60.00 beta=60.00 gamma=60.00
Sites, in units of the cell vectors:
Zn1 0.250 0.250 0.250
Zn2 0.000 0.000 0.000
Au1 0.750 0.750 0.750
Hg1 0.500 0.500 0.500

ΔE_f ... 89 meV per atom